An optimized crystal structure of AcZrZn2. Source: Alexandria, functional GGA-PBE.

Properties
calculated total energy = -3.720 eV per atom
energy of formation = 0.081 eV/atom
calculated density = 7.307 Mg/m³
energy relative to the lowest polymorph listed for this composition = 243.1 meV per atom

Cell lengths 9.1765, 9.1765, 9.1765 Å; angles 22.83, 22.83, 22.83 degrees
Sites, in units of the cell vectors:
Ac 0.0000 0.0000 0.0000
Zr 0.5000 0.5000 0.5000
Zn 0.2382 0.2382 0.2382
Zn 0.7618 0.7618 0.7618

***

An optimized crystal structure of AcZrZn2. Source: Alexandria, functional GGA-PBE.

Properties
calculated total energy = -3.813 eV per atom
energy of formation = -0.012 eV/atom
calculated density = 7.837 Mg/m³
energy relative to the lowest polymorph listed for this composition = 149.6 meV per atom

Cell lengths 5.1390, 5.1390, 3.6026 Å; angles 90.00, 90.00, 90.00 degrees
Sites, in units of the cell vectors:
Ac 0.0000 0.0000 0.0000
Zr 0.5000 0.5000 0.0000
Zn 0.0000 0.5000 0.5000
Zn 0.5000 0.0000 0.5000

***

An optimized crystal structure of AcZr2Zn9. Source: Alexandria, functional GGA-PBE.

Properties
calculated total energy = -2.987 eV per atom
energy of formation = -0.264 eV/atom
calculated density = 7.655 Mg/m³

Cell lengths 9.0622, 9.0622, 9.0622 Å; angles 34.81, 34.81, 34.81 degrees
Sites, in units of the cell vectors:
Ac 0.0000 0.0000 0.0000
Zr 0.1457 0.1457 0.1457
Zr 0.8543 0.8543 0.8543
Zn 0.0775 0.5920 0.5920
Zn 0.3362 0.3362 0.3362
Zn 0.4080 0.4080 0.9225
Zn 0.4080 0.9225 0.4080
Zn 0.5000 0.5000 0.5000
Zn 0.5920 0.0775 0.5920
Zn 0.5920 0.5920 0.0775
Zn 0.6638 0.6638 0.6638
Zn 0.9225 0.4080 0.4080

***

An optimized crystal structure of Ac2ZrZn. Source: Alexandria, functional GGA-PBE.

Properties
calculated total energy = -4.436 eV per atom
energy of formation = 0.074 eV/atom
calculated density = 8.079 Mg/m³
energy relative to the lowest polymorph listed for this composition = 0.0 meV per atom

Cell lengths 3.7425, 3.7425, 8.9605 Å; angles 90.00, 90.00, 90.00 degrees
Sites, in units of the cell vectors:
Ac 0.0000 0.0000 0.2307
Ac 0.0000 0.0000 0.7693
Zr 0.5000 0.5000 0.5000
Zn 0.5000 0.5000 0.0000

***

An optimized crystal structure of AcZrZn2. Source: Alexandria, functional GGA-PBE.

Properties
calculated total energy = -3.963 eV per atom
energy of formation = -0.162 eV/atom
calculated density = 7.881 Mg/m³
energy relative to the lowest polymorph listed for this composition = 0.0 meV per atom

Cell lengths 3.5997, 3.5997, 7.3017 Å; angles 90.00, 90.00, 90.00 degrees
Sites, in units of the cell vectors:
Ac 0.0000 0.0000 0.0000
Zr 0.0000 0.0000 0.5000
Zn 0.5000 0.5000 0.3064
Zn 0.5000 0.5000 0.6936

***

An optimized crystal structure of Ac4Zr. Source: Alexandria, functional GGA-PBE.

Properties
calculated total energy = -4.530 eV per atom
energy of formation = 0.467 eV/atom
calculated density = 7.295 Mg/m³

Cell lengths 6.1041, 6.1041, 6.1041 Å; angles 90.00, 90.00, 90.00 degrees
Sites, in units of the cell vectors:
Ac 0.0000 0.0000 0.0000
Ac 0.0000 0.5000 0.5000
Ac 0.5000 0.0000 0.5000
Ac 0.5000 0.5000 0.0000
Zr 0.5000 0.5000 0.5000

***

An optimized crystal structure of Ac5Zr. Source: Alexandria, functional GGA-PBE.

Properties
calculated total energy = -4.676 eV per atom
energy of formation = 0.173 eV/atom
calculated density = 8.436 Mg/m³

Cell lengths 8.6783, 8.6783, 5.4178 Å; angles 90.00, 90.00, 143.73 degrees
Sites, in units of the cell vectors:
Ac 0.0000 0.0000 0.0000
Ac 0.1573 0.8427 0.5000
Ac 0.3412 0.6588 0.0000
Ac 0.6588 0.3412 0.0000
Ac 0.8427 0.1573 0.5000
Zr 0.5000 0.5000 0.5000

***

An optimized crystal structure of Ag. Source: Alexandria, functional GGA-PBE.

Properties
calculated total energy = -2.851 eV per atom
energy of formation = 0.000 eV/atom
calculated density = 10.015 Mg/m³
energy relative to the lowest polymorph listed for this composition = 0.0 meV per atom

Cell lengths 7.4176, 7.4176, 7.4176 Å; angles 22.77, 22.77, 22.77 degrees
Sites, in units of the cell vectors:
Ag 0.0000 0.0000 0.0000
Ag 0.2223 0.2223 0.2223
Ag 0.7777 0.7777 0.7777

***

An optimized crystal structure of Ag. Source: Alexandria, functional GGA-PBE.

Properties
calculated total energy = -2.693 eV per atom
energy of formation = 0.158 eV/atom
calculated density = 9.241 Mg/m³
energy relative to the lowest polymorph listed for this composition = 157.8 meV per atom

Cell lengths 4.6625, 4.6625, 4.6625 Å; angles 106.92, 106.92, 114.70 degrees
Sites, in units of the cell vectors:
Ag 0.1741 0.6741 0.8482
Ag 0.3259 0.1741 0.5000
Ag 0.6741 0.8259 0.5000
Ag 0.8259 0.3259 0.1518

***

An optimized crystal structure of Ag. Source: Alexandria, functional GGA-PBE.

Properties
calculated total energy = -2.582 eV per atom
energy of formation = 0.269 eV/atom
calculated density = 9.017 Mg/m³
energy relative to the lowest polymorph listed for this composition = 269.5 meV per atom

Cell lengths 4.0182, 4.0182, 4.0182 Å; angles 96.98, 96.98, 139.20 degrees
Sites, in units of the cell vectors:
Ag 0.3750 0.6250 0.7500
Ag 0.6250 0.3750 0.2500

***

An optimized crystal structure of Ag. Source: Alexandria, functional GGA-PBE.

Properties
calculated total energy = -2.822 eV per atom
energy of formation = 0.029 eV/atom
calculated density = 9.968 Mg/m³
energy relative to the lowest polymorph listed for this composition = 29.2 meV per atom

Cell lengths 2.9498, 2.9498, 9.5389 Å; angles 90.00, 90.00, 120.00 degrees
Sites, in units of the cell vectors:
Ag 0.0000 0.0000 0.0000
Ag 0.0000 0.0000 0.5000
Ag 0.3333 0.6667 0.2500
Ag 0.6667 0.3333 0.7500

***

An optimized crystal structure of Ag. Source: Alexandria, functional GGA-PBE.

Properties
calculated total energy = -2.137 eV per atom
energy of formation = 0.715 eV/atom
calculated density = 4.842 Mg/m³
energy relative to the lowest polymorph listed for this composition = 714.6 meV per atom

Cell lengths 7.2711, 7.2711, 7.2711 Å; angles 109.47, 109.47, 109.47 degrees
Sites, in units of the cell vectors:
Ag 0.0000 0.0000 0.2404
Ag 0.0000 0.0000 0.6101
Ag 0.0000 0.2404 0.0000
Ag 0.0000 0.6101 0.0000
Ag 0.2404 0.0000 0.0000
Ag 0.3899 0.3899 0.3899
Ag 0.6101 0.0000 0.0000
Ag 0.7596 0.7596 0.7596

***

An optimized crystal structure of Ag. Source: Alexandria, functional GGA-PBE.

Properties
calculated total energy = -2.613 eV per atom
energy of formation = 0.238 eV/atom
calculated density = 9.039 Mg/m³
energy relative to the lowest polymorph listed for this composition = 238.1 meV per atom

Cell lengths 6.5772, 6.5772, 6.5772 Å; angles 131.00, 131.00, 71.81 degrees
Sites, in units of the cell vectors:
Ag 0.0559 0.8059 0.6117
Ag 0.1941 0.3059 0.2500
Ag 0.3059 0.5559 0.1117
Ag 0.4441 0.0559 0.7500
Ag 0.5559 0.9441 0.2500
Ag 0.6941 0.4441 0.8883
Ag 0.8059 0.6941 0.7500
Ag 0.9441 0.1941 0.3883

***

An optimized crystal structure of Ag. Source: Alexandria, functional GGA-PBE.

Properties
calculated total energy = -2.494 eV per atom
energy of formation = 0.357 eV/atom
calculated density = 8.566 Mg/m³
energy relative to the lowest polymorph listed for this composition = 357.2 meV per atom

Cell lengths 2.7550, 2.7550, 2.7550 Å; angles 90.00, 90.00, 90.00 degrees
Sites, in units of the cell vectors:
Ag 0.0000 0.0000 0.0000

***

An optimized crystal structure of Ag. Source: Alexandria, functional GGA-PBE.

Properties
calculated total energy = -2.589 eV per atom
energy of formation = 0.262 eV/atom
calculated density = 8.314 Mg/m³
energy relative to the lowest polymorph listed for this composition = 262.0 meV per atom

Cell lengths 8.6896, 8.6896, 8.6896 Å; angles 153.63, 153.63, 37.64 degrees
Sites, in units of the cell vectors:
Ag 0.0000 0.5000 0.5000
Ag 0.1245 0.1245 0.0000
Ag 0.2500 0.7500 0.5000
Ag 0.5000 0.0000 0.5000
Ag 0.7500 0.2500 0.5000
Ag 0.8755 0.8755 0.0000

***

An optimized crystal structure of Ag. Source: Alexandria, functional GGA-PBE.

Properties
calculated total energy = -2.705 eV per atom
energy of formation = 0.147 eV/atom
calculated density = 9.002 Mg/m³
energy relative to the lowest polymorph listed for this composition = 146.5 meV per atom

Cell lengths 7.6384, 7.6384, 4.7256 Å; angles 90.00, 90.00, 120.00 degrees
Sites, in units of the cell vectors:
Ag 0.0559 0.8087 0.2500
Ag 0.0968 0.6178 0.7500
Ag 0.1913 0.2472 0.2500
Ag 0.2472 0.0559 0.7500
Ag 0.3822 0.4790 0.7500
Ag 0.4790 0.0968 0.2500
Ag 0.5210 0.9032 0.7500
Ag 0.6178 0.5210 0.2500
Ag 0.7528 0.9441 0.2500
Ag 0.8087 0.7528 0.7500
Ag 0.9032 0.3822 0.2500
Ag 0.9441 0.1913 0.7500

***

An optimized crystal structure of Ag. Source: Alexandria, functional GGA-PBE.

Properties
calculated total energy = -2.637 eV per atom
energy of formation = 0.214 eV/atom
calculated density = 8.739 Mg/m³
energy relative to the lowest polymorph listed for this composition = 214.1 meV per atom

Cell lengths 6.8525, 6.8525, 2.9020 Å; angles 90.00, 90.00, 115.51 degrees
Sites, in units of the cell vectors:
Ag 0.0000 0.5000 0.5000
Ag 0.1179 0.8821 0.0000
Ag 0.3046 0.3046 0.5000
Ag 0.5000 0.0000 0.5000
Ag 0.6954 0.6954 0.5000
Ag 0.8821 0.1179 0.0000

***

An optimized crystal structure of Ag. Source: Alexandria, functional GGA-PBE.

Properties
calculated total energy = -2.680 eV per atom
energy of formation = 0.171 eV/atom
calculated density = 9.244 Mg/m³
energy relative to the lowest polymorph listed for this composition = 171.2 meV per atom

Cell lengths 7.5207, 7.5207, 7.5207 Å; angles 92.05, 92.05, 158.22 degrees
Sites, in units of the cell vectors:
Ag 0.0964 0.8360 0.9324
Ag 0.0979 0.3585 0.4563
Ag 0.1640 0.0964 0.2605
Ag 0.3585 0.9021 0.2606
Ag 0.6415 0.0979 0.7394
Ag 0.8360 0.9036 0.7395
Ag 0.9021 0.6415 0.5437
Ag 0.9036 0.1640 0.0676

***

An optimized crystal structure of Ag. Source: Alexandria, functional GGA-PBE.

Properties
calculated total energy = -2.242 eV per atom
energy of formation = 0.609 eV/atom
calculated density = 7.275 Mg/m³
energy relative to the lowest polymorph listed for this composition = 609.1 meV per atom

Cell lengths 4.6739, 4.6739, 5.2058 Å; angles 90.00, 90.00, 120.00 degrees
Sites, in units of the cell vectors:
Ag 0.0000 0.0000 0.2500
Ag 0.0000 0.0000 0.7500
Ag 0.3333 0.6667 0.2500
Ag 0.6667 0.3333 0.7500

***

An optimized crystal structure of Ag. Source: Alexandria, functional GGA-PBE.

Properties
calculated total energy = -2.047 eV per atom
energy of formation = 0.804 eV/atom
calculated density = 5.943 Mg/m³
energy relative to the lowest polymorph listed for this composition = 803.8 meV per atom

Cell lengths 4.4012, 4.4012, 4.4012 Å; angles 60.00, 60.00, 60.00 degrees
Sites, in units of the cell vectors:
Ag 0.1250 0.1250 0.1250
Ag 0.8750 0.8750 0.8750

***

An optimized crystal structure of Ag. Source: Alexandria, functional GGA-PBE.

Properties
calculated total energy = -2.077 eV per atom
energy of formation = 0.774 eV/atom
calculated density = 4.872 Mg/m³
energy relative to the lowest polymorph listed for this composition = 774.0 meV per atom

Cell lengths 6.5926, 6.5926, 6.5926 Å; angles 109.47, 109.47, 109.47 degrees
Sites, in units of the cell vectors:
Ag 0.2500 0.5000 0.7500
Ag 0.2500 0.7500 0.5000
Ag 0.5000 0.2500 0.7500
Ag 0.5000 0.7500 0.2500
Ag 0.7500 0.2500 0.5000
Ag 0.7500 0.5000 0.2500

***

An optimized crystal structure of Ag. Source: Alexandria, functional GGA-PBE.

Properties
calculated total energy = -2.293 eV per atom
energy of formation = 0.558 eV/atom
calculated density = 6.747 Mg/m³
energy relative to the lowest polymorph listed for this composition = 558.1 meV per atom

Cell lengths 4.7376, 4.7376, 2.7314 Å; angles 90.00, 90.00, 120.00 degrees
Sites, in units of the cell vectors:
Ag 0.3333 0.6667 0.0000
Ag 0.6667 0.3333 0.0000

***

An optimized crystal structure of Ag. Source: Alexandria, functional GGA-PBE.

Properties
calculated total energy = -2.711 eV per atom
energy of formation = 0.140 eV/atom
calculated density = 9.462 Mg/m³
energy relative to the lowest polymorph listed for this composition = 140.1 meV per atom

Cell lengths 5.7853, 5.4430, 2.8608 Å; angles 81.99, 68.69, 29.32 degrees
Sites, in units of the cell vectors:
Ag 0.1324 0.1324 0.8676
Ag 0.8676 0.8676 0.1324

***

An optimized crystal structure of Ag. Source: Alexandria, functional GGA-PBE.

Properties
calculated total energy = -2.568 eV per atom
energy of formation = 0.284 eV/atom
calculated density = 8.781 Mg/m³
energy relative to the lowest polymorph listed for this composition = 283.6 meV per atom

Cell lengths 5.4255, 5.4255, 2.7719 Å; angles 90.00, 90.00, 90.00 degrees
Sites, in units of the cell vectors:
Ag 0.1848 0.3152 0.0000
Ag 0.3152 0.8152 0.0000
Ag 0.6848 0.1848 0.0000
Ag 0.8152 0.6848 0.0000

***

An optimized crystal structure of Al3Ag5. Source: Alexandria, functional GGA-PBE.

Properties
calculated total energy = -3.160 eV per atom
energy of formation = 0.026 eV/atom
calculated density = 7.367 Mg/m³
energy relative to the lowest polymorph listed for this composition = 75.6 meV per atom

Cell lengths 7.8408, 7.8408, 5.2520 Å; angles 90.00, 90.00, 120.00 degrees
Sites, in units of the cell vectors:
Al 0.0000 0.3998 0.2500
Al 0.0000 0.6002 0.7500
Al 0.3998 0.0000 0.2500
Al 0.3998 0.3998 0.7500
Al 0.6002 0.0000 0.7500
Al 0.6002 0.6002 0.2500
Ag 0.0000 0.2313 0.7500
Ag 0.0000 0.7687 0.2500
Ag 0.2313 0.0000 0.7500
Ag 0.2313 0.2313 0.2500
Ag 0.3333 0.6667 0.0000
Ag 0.3333 0.6667 0.5000
Ag 0.6667 0.3333 0.0000
Ag 0.6667 0.3333 0.5000
Ag 0.7687 0.0000 0.2500
Ag 0.7687 0.7687 0.7500